## P
# Sm2Ho4Tl (PBE, relaxed)
data_Sm2Ho4Tl
_cell_length_a 20.306
_cell_length_b 3.531
_cell_length_c 12.143
_cell_angle_alpha 90.00
_cell_angle_beta 90.00
_cell_angle_gamma 90.00
_symmetry_space_group_name_H-M 'P n m a'
_symmetry_Int_Tables_number 62
loop_
_symmetry_equiv_pos_as_xyz
'x,y,z'
'-x,-y,-z'
'-x+1/2,-y,z+1/2'
'x+1/2,y,-z+1/2'
'x+1/2,-y+1/2,-z+1/2'
'-x+1/2,y+1/2,z+1/2'
'-x,y+1/2,-z'
'x,-y+1/2,z'
loop_
_atom_site_label
_atom_site_type_symbol
_atom_site_fract_x
_atom_site_fract_y
_atom_site_fract_z
Sm1 Sm 0.052 0.250 0.098
Sm2 Sm 0.141 0.250 0.532
Ho1 Ho 0.001 0.250 0.377
Ho2 Ho 0.095 0.250 0.816
Ho3 Ho 0.195 0.750 0.004
Ho4 Ho 0.238 0.750 0.730
Tl1 Tl 0.134 0.750 0.292
# Calculated density = 8.89 g cm⁻³
# Density of states at the Fermi level = 8.4 states/eV/f.u.
# Size of the total moment = 0.00 μB/f.u.



## Q
# Sm2Ho4Tl (PBE, relaxed)
data_Sm2Ho4Tl
_cell_length_a 5.826
_cell_length_b 6.671
_cell_length_c 11.459
_cell_angle_alpha 90.00
_cell_angle_beta 103.53
_cell_angle_gamma 90.00
_symmetry_space_group_name_H-M 'P 1 21/m 1'
_symmetry_Int_Tables_number 11
loop_
_symmetry_equiv_pos_as_xyz
'x,y,z'
'-x,-y,-z'
'-x,y+1/2,-z'
'x,-y+1/2,z'
loop_
_atom_site_label
_atom_site_type_symbol
_atom_site_fract_x
_atom_site_fract_y
_atom_site_fract_z
Sm1 Sm 0.046 0.250 0.476
Sm2 Sm 0.336 0.750 0.069
Ho1 Ho 0.162 0.009 0.788
Ho2 Ho 0.215 0.250 0.070
Ho3 Ho 0.385 0.750 0.368
Tl1 Tl 0.475 0.250 0.341
# Calculated density = 8.93 g cm⁻³
# Density of states at the Fermi level = 8.5 states/eV/f.u.
# Size of the total moment = 0.00 μB/f.u.



Stability, highest: P



## P
# Sm5HoTl2 (PBE, relaxed)
data_Sm5HoTl2
_cell_length_a 5.5027
_cell_length_b 5.5027
_cell_length_c 20.3124
_cell_angle_alpha 90.00
_cell_angle_beta 90.00
_cell_angle_gamma 120.00
_symmetry_space_group_name_H-M 'P 63/m m c'
_symmetry_Int_Tables_number 194
_symmetry_space_group_name_Hall '-P 6c 2c'
loop_
_atom_site_label
_atom_site_type_symbol
_atom_site_fract_x
_atom_site_fract_y
_atom_site_fract_z
Sm1 Sm 0.0000 0.0000 0.1626
Sm2 Sm 0.3333 0.6667 0.0610
Sm3 Sm 0.3333 0.6667 0.2500
Ho1 Ho 0.3333 0.6667 0.7500
Tl1 Tl 0.3333 0.6667 0.5967
# Calculated density = 8.26 g cm⁻³
# Density of states at the Fermi level = 14.1 states/eV/f.u.
# Size of the total moment = 0.00 μB/f.u.



## Q
# Sm5HoTl2 (PBE, relaxed)
data_Sm5HoTl2
_cell_length_a 3.661
_cell_length_b 10.891
_cell_length_c 12.528
_cell_angle_alpha 90.00
_cell_angle_beta 90.00
_cell_angle_gamma 90.00
_symmetry_space_group_name_H-M 'I m m m'
_symmetry_Int_Tables_number 71
_symmetry_space_group_name_Hall '-I 2 2'
loop_
_atom_site_label
_atom_site_type_symbol
_atom_site_fract_x
_atom_site_fract_y
_atom_site_fract_z
Sm1 Sm 0.000 0.000 0.000
Sm2 Sm 0.000 0.277 0.363
Ho1 Ho 0.000 0.500 0.000
Tl1 Tl 0.000 0.000 0.273
# Calculated density = 8.81 g cm⁻³
# Density of states at the Fermi level = 11.1 states/eV/f.u.
# Size of the total moment = 0.00 μB/f.u.



Stability, highest: Q